Record 1
{
  "formula": "Sr2ErThO6",
  "functional": "GGA-PBE",
  "state": "optimized geometry",
  "lattice_angstrom": [[6.056, 0.000, -0.001], [0.000, 6.216, 0.000], [0.053, 0.000, 8.669]],
  "species": ["Sr", "Sr", "Sr", "Sr", "Er", "Er", "Th", "Th", "O", "O", "O", "O", "O", "O", "O", "O", "O", "O", "O", "O"],
  "frac_coords": [[0.015, 0.954, 0.250], [0.515, 0.546, 0.750], [0.985, 0.046, 0.750], [0.485, 0.454, 0.250], [0.500, 0.000, 0.000], [0.000, 0.500, 0.500], [0.500, 0.000, 0.500], [0.000, 0.500, 0.000], [0.300, 0.706, 0.060], [0.800, 0.794, 0.560], [0.700, 0.294, 0.940], [0.200, 0.206, 0.440], [0.296, 0.703, 0.441], [0.796, 0.797, 0.941], [0.704, 0.297, 0.559], [0.204, 0.203, 0.059], [0.891, 0.547, 0.253], [0.391, 0.953, 0.753], [0.109, 0.453, 0.747], [0.609, 0.047, 0.247]],
  "formation_energy_uncorrected_ev_per_atom": -3.09,
  "final_energy_ev_per_atom": -7.60
}



Record 2
{
  "formula": "Sr3ErTi2O9",
  "functional": "GGA-PBE",
  "state": "optimized geometry",
  "lattice_angstrom": [[-3.045, -4.824, -0.652], [5.450, 0.219, -1.793], [2.214, -2.270, 6.450]],
  "species": ["Sr", "Sr", "Sr", "Er", "Ti", "Ti", "O", "O", "O", "O", "O", "O", "O", "O", "O"],
  "frac_coords": [[0.333, 0.667, 0.700], [0.000, 0.000, 0.000], [0.667, 0.333, 0.300], [0.000, 0.000, 0.500], [0.333, 0.667, 0.169], [0.667, 0.333, 0.831], [0.827, 0.173, 0.687], [0.827, 0.653, 0.687], [0.347, 0.173, 0.687], [0.653, 0.827, 0.313], [0.173, 0.347, 0.313], [0.173, 0.827, 0.313], [0.500, 0.000, 0.000], [0.000, 0.500, 0.000], [0.500, 0.500, 0.000]],
  "formation_energy_uncorrected_ev_per_atom": -3.00,
  "final_energy_ev_per_atom": -7.67
}



Record 3
{
  "formula": "Sr4ErTi3O12",
  "functional": "GGA-PBE",
  "state": "optimized geometry",
  "lattice_angstrom": [[7.013, 0.000, 0.000], [-2.338, 6.612, 0.000], [-2.338, -3.306, 5.726]],
  "species": ["Sr", "Sr", "Sr", "Sr", "Er", "Ti", "Ti", "Ti", "O", "O", "O", "O", "O", "O", "O", "O", "O", "O", "O", "O"],
  "frac_coords": [[0.500, 0.500, 0.500], [0.000, 0.000, 0.500], [0.500, 0.000, 0.000], [0.000, 0.500, 0.000], [0.000, 0.000, 0.000], [0.500, 0.000, 0.500], [0.500, 0.500, 0.000], [0.000, 0.500, 0.500], [0.250, 0.500, 0.750], [0.734, 0.000, 0.734], [0.266, 0.000, 0.266], [0.750, 0.500, 0.250], [0.734, 0.734, 0.000], [0.266, 0.266, 0.000], [0.750, 0.250, 0.500], [0.250, 0.750, 0.500], [0.500, 0.250, 0.750], [0.000, 0.734, 0.734], [0.500, 0.750, 0.250], [0.000, 0.266, 0.266]],
  "formation_energy_uncorrected_ev_per_atom": -3.02,
  "final_energy_ev_per_atom": -7.74
}



Record 4
{
  "formula": "SrEr2TlO6",
  "functional": "GGA-PBE",
  "state": "optimized geometry",
  "lattice_angstrom": [[-0.796, -0.515, -5.802], [-5.349, -1.169, -2.140], [-3.031, 4.512, -2.963]],
  "species": ["Sr", "Er", "Er", "Tl", "O", "O", "O", "O", "O", "O"],
  "frac_coords": [[0.793, 0.793, 0.622], [0.522, 0.522, 0.433], [0.014, 0.014, 0.957], [0.307, 0.307, 0.079], [0.624, 0.234, 0.235], [0.234, 0.907, 0.235], [0.907, 0.624, 0.235], [0.361, 0.727, 0.740], [0.727, 0.173, 0.740], [0.173, 0.361, 0.740]],
  "formation_energy_uncorrected_ev_per_atom": -2.42,
  "final_energy_ev_per_atom": -6.72
}



Record 5
{
  "formula": "Sr2ErTlO5",
  "functional": "GGA-PBE",
  "state": "optimized geometry",
  "lattice_angstrom": [[3.514, 0.000, 0.000], [-1.757, 7.239, 0.000], [0.000, 0.000, 11.166]],
  "species": ["Sr", "Sr", "Sr", "Sr", "Er", "Er", "Tl", "Tl", "O", "O", "O", "O", "O", "O", "O", "O", "O", "O"],
  "frac_coords": [[0.861, 0.723, 0.781], [0.110, 0.219, 0.691], [0.139, 0.277, 0.281], [0.890, 0.781, 0.191], [0.778, 0.557, 0.510], [0.222, 0.443, 0.010], [0.525, 0.049, 0.962], [0.475, 0.951, 0.462], [0.371, 0.742, 0.010], [0.695, 0.390, 0.882], [0.493, 0.987, 0.776], [0.278, 0.556, 0.646], [0.935, 0.871, 0.566], [0.629, 0.258, 0.510], [0.305, 0.610, 0.382], [0.507, 0.013, 0.276], [0.722, 0.444, 0.146], [0.065, 0.129, 0.066]],
  "formation_energy_uncorrected_ev_per_atom": -2.39,
  "final_energy_ev_per_atom": -6.29
}